Entry 1:
# CeAsN, optimized geometry, DFT PBE
# Energy above the most stable polymorph in this dataset ... 0 meV per atom
data_CeAsN
_chemical_formula_sum 'Ce4 As4 N4'
_space_group_name_H-M_alt 'I m m 2'
_space_group_IT_number 44
_cell_length_a 3.977
_cell_length_b 14.796
_cell_length_c 4.067
_cell_angle_alpha 90.00
_cell_angle_beta 90.00
_cell_angle_gamma 90.00
loop_
_space_group_symop_operation_xyz
'x,y,z'
'-x,-y,z'
'-x,y,z'
'x,-y,z'
'x+1/2,y+1/2,z+1/2'
'-x+1/2,-y+1/2,z+1/2'
'-x+1/2,y+1/2,z+1/2'
'x+1/2,-y+1/2,z+1/2'
loop_
_atom_site_label
_atom_site_fract_x
_atom_site_fract_y
_atom_site_fract_z
Ce1 0.000 0.175 0.000
As1 0.000 0.000 0.516
As2 0.000 0.500 0.419
N1 0.000 0.248 0.502


Entry 2:
Ce3AsN2 after structural relaxation. Source: Alexandria via LeMat-Bulk, functional PBE.

```
data_Ce3AsN2
_chemical_formula_sum 'Ce6 As2 N4'
_space_group_name_H-M_alt 'P m m n'
_space_group_IT_number 59
_cell_length_a 5.041
_cell_length_b 12.266
_cell_length_c 3.944
_cell_angle_alpha 90.00
_cell_angle_beta 90.00
_cell_angle_gamma 90.00
loop_
_space_group_symop_operation_xyz
'x,y,z'
'-x,-y,-z'
'-x+1/2,-y+1/2,z'
'x+1/2,y+1/2,-z'
'x+1/2,-y,-z'
'-x+1/2,y,z'
'-x,y+1/2,-z'
'x,-y+1/2,z'
loop_
_atom_site_label
_atom_site_fract_x
_atom_site_fract_y
_atom_site_fract_z
Ce1 0.250 0.053 0.250
Ce2 0.250 0.750 0.749
As1 0.250 0.250 0.750
N1 0.250 0.555 0.750
```


Entry 3:
Ce4As3N after structural relaxation. Source: Alexandria via LeMat-Bulk, functional PBE.

```
data_Ce4As3N
_chemical_formula_sum 'Ce8 As6 N2'
_space_group_name_H-M_alt 'P m n 21'
_space_group_IT_number 31
_cell_length_a 11.497
_cell_length_b 5.913
_cell_length_c 5.913
_cell_angle_alpha 90.00
_cell_angle_beta 90.00
_cell_angle_gamma 90.00
loop_
_space_group_symop_operation_xyz
'x,y,z'
'-x+1/2,-y,z+1/2'
'-x,y,z'
'x+1/2,-y,z+1/2'
loop_
_atom_site_label
_atom_site_fract_x
_atom_site_fract_y
_atom_site_fract_z
Ce1 0.000 0.196 0.000
Ce2 0.000 0.752 0.442
Ce3 0.232 0.751 0.996
As1 0.000 0.250 0.498
As2 0.250 0.252 0.996
N1 0.000 0.818 0.064
```


Entry 4:
CeNdAsN after structural relaxation. Source: Alexandria via LeMat-Bulk, functional PBE.

```
data_CeNdAsN
_chemical_formula_sum 'Ce6 Nd6 As6 N6'
_space_group_name_H-M_alt 'R -3 m'
_space_group_IT_number 166
_space_group_name_Hall '-R 3 2"'
_cell_length_a 3.9603
_cell_length_b 3.9603
_cell_length_c 41.6608
_cell_angle_alpha 90.00
_cell_angle_beta 90.00
_cell_angle_gamma 120.00
loop_
_atom_site_label
_atom_site_fract_x
_atom_site_fract_y
_atom_site_fract_z
Ce1 0.0000 0.0000 0.0000
Ce2 0.0000 0.0000 0.5000
Nd1 0.0000 0.0000 0.2459
As1 0.0000 0.0000 0.3770
N1 0.0000 0.0000 0.1917
```


Entry 5:
CeNiAsN after structural relaxation. Source: Alexandria via LeMat-Bulk, functional PBE.

```
data_CeNiAsN
_chemical_formula_sum 'Ce2 Ni2 As2 N2'
_space_group_name_H-M_alt 'I 4 m m'
_space_group_IT_number 107
_space_group_name_Hall 'I 4 -2'
_cell_length_a 3.298
_cell_length_b 3.298
_cell_length_c 11.778
_cell_angle_alpha 90.00
_cell_angle_beta 90.00
_cell_angle_gamma 90.00
loop_
_atom_site_label
_atom_site_fract_x
_atom_site_fract_y
_atom_site_fract_z
Ce1 0.000 0.000 0.000
Ni1 0.000 0.000 0.299
As1 0.000 0.000 0.727
N1 0.000 0.000 0.460
```


Entry 6:
CeNi2As2N after structural relaxation. Source: Alexandria via LeMat-Bulk, functional PBE.

```
data_CeNi2As2N
_chemical_formula_sum 'Ce2 Ni4 As4 N2'
_space_group_name_H-M_alt 'I 4/m m m'
_space_group_IT_number 139
_space_group_name_Hall '-I 4 2'
_cell_length_a 3.797
_cell_length_b 3.797
_cell_length_c 13.306
_cell_angle_alpha 90.00
_cell_angle_beta 90.00
_cell_angle_gamma 90.00
loop_
_atom_site_label
_atom_site_fract_x
_atom_site_fract_y
_atom_site_fract_z
Ce1 0.000 0.000 0.000
Ni1 0.000 0.000 0.361
As1 0.000 0.500 0.250
N1 0.000 0.000 0.500
```


The records above yield VASP energy values of -89.9; -94.4; -112.7; -169.4; -55.4; -76.0 eV per cell, respectively.
The records above yield spin magnetization values of 0.00; 3.84; 6.05; 1.43; 0.00; 0.39 μB per cell, respectively.
The records above yield energy relative to the elements, uncorrected values of -1.19; -1.35; -1.29; -1.14; -0.75; -0.48 eV/atom, respectively.